# 1
Entry from the Alexandria database: a relaxed structure of U2SnC (GGA-PBE).

Properties
- Energy of formation from the pure elements: -0.132 eV/atom
- DOS(E_F): 1.910 states/eV per atom
- Density: 13.15 Mg/m³
- Total magnetization: 0.83 μB per cell
- Symmetry: R3m

The structure in CIF format:
```
data_U2SnC
_chemical_formula_sum 'U2 Sn1 C1'
_symmetry_space_group_name_H-M 'P 1'
_symmetry_Int_Tables_number 1
_cell_length_a 3.1914
_cell_length_b 3.1914
_cell_length_c 8.8769
_cell_angle_alpha 79.65
_cell_angle_beta 79.65
_cell_angle_gamma 60.00
loop_
_symmetry_equiv_pos_as_xyz
'x,y,z'
loop_
_atom_site_label
_atom_site_fract_x
_atom_site_fract_y
_atom_site_fract_z
C1 0.6670 0.6670 0.9991
U1 0.2751 0.2751 0.1747
Sn1 0.4999 0.4999 0.5004
U2 0.0581 0.0581 0.8258
```

---

# 2
Entry from the Alexandria database: a relaxed structure of PuMnFeNi (GGA-PBE).

Properties
- Energy of formation from the pure elements: 0.093 eV/atom
- DOS(E_F): 1.560 states/eV per atom
- Density: 11.52 Mg/m³
- Total magnetization: 0.35 μB per cell
- Symmetry: F-43m

The structure in CIF format:
```
data_PuMnFeNi
_chemical_formula_sum 'Pu1 Mn1 Fe1 Ni1'
_symmetry_space_group_name_H-M 'P 1'
_symmetry_Int_Tables_number 1
_cell_length_a 4.3840
_cell_length_b 4.3840
_cell_length_c 4.3840
_cell_angle_alpha 60.00
_cell_angle_beta 60.00
_cell_angle_gamma 60.00
loop_
_symmetry_equiv_pos_as_xyz
'x,y,z'
loop_
_atom_site_label
_atom_site_fract_x
_atom_site_fract_y
_atom_site_fract_z
Fe1 0.0000 0.0000 0.0000
Ni1 0.5000 0.5000 0.5000
Pu1 0.7500 0.7500 0.7500
Mn1 0.2500 0.2500 0.2500
```

---

# 3
Entry from the Alexandria database: a relaxed structure of AcHoThSn (GGA-PBE).

Properties
- Energy of formation from the pure elements: -0.080 eV/atom
- DOS(E_F): 0.704 states/eV per atom
- Density: 9.88 Mg/m³
- Total magnetization: 0.00 μB per cell
- Symmetry: F-43m

The structure in CIF format:
```
data_AcHoThSn
_chemical_formula_sum 'Ac1 Ho1 Th1 Sn1'
_symmetry_space_group_name_H-M 'P 1'
_symmetry_Int_Tables_number 1
_cell_length_a 5.6095
_cell_length_b 5.6095
_cell_length_c 5.6095
_cell_angle_alpha 60.00
_cell_angle_beta 60.00
_cell_angle_gamma 60.00
loop_
_symmetry_equiv_pos_as_xyz
'x,y,z'
loop_
_atom_site_label
_atom_site_fract_x
_atom_site_fract_y
_atom_site_fract_z
Sn1 0.5000 0.5000 0.5000
Th1 0.2500 0.2500 0.2500
Ac1 0.0000 0.0000 0.0000
Ho1 0.7500 0.7500 0.7500
```

---

# 4
Entry from the Alexandria database: a relaxed structure of Nd2Hg9Pb (GGA-PBE).

Properties
- Energy of formation from the pure elements: -0.244 eV/atom
- DOS(E_F): 0.771 states/eV per atom
- Density: 12.15 Mg/m³
- Total magnetization: 0.00 μB per cell
- Symmetry: P4/mmm

The structure in CIF format:
```
data_Nd2Hg9Pb
_chemical_formula_sum 'Nd2 Hg9 Pb1'
_symmetry_space_group_name_H-M 'P 1'
_symmetry_Int_Tables_number 1
_cell_length_a 4.7402
_cell_length_b 4.7402
_cell_length_c 13.9938
_cell_angle_alpha 90.00
_cell_angle_beta 90.00
_cell_angle_gamma 90.00
loop_
_symmetry_equiv_pos_as_xyz
'x,y,z'
loop_
_atom_site_label
_atom_site_fract_x
_atom_site_fract_y
_atom_site_fract_z
Hg1 0.0000 0.5000 0.8306
Nd1 0.0000 0.0000 0.3265
Pb1 0.0000 0.0000 0.0000
Hg2 0.5000 0.0000 0.8306
Nd2 0.0000 0.0000 0.6735
Hg3 0.5000 0.5000 0.6563
Hg4 0.5000 0.0000 0.1694
Hg5 0.0000 0.5000 0.5000
Hg6 0.5000 0.5000 0.3437
Hg7 0.0000 0.5000 0.1694
Hg8 0.5000 0.5000 0.0000
Hg9 0.5000 0.0000 0.5000
```

---

# 5
Entry from the Alexandria database: a relaxed structure of Pu6SbPd5 (GGA-PBE).

Properties
- DOS(E_F): 3.755 states/eV per atom
- Density: 13.19 Mg/m³
- Total magnetization: 34.72 μB per cell
- Symmetry: Immm
- Formation energy from raw total energies: -428 meV per atom

The structure in CIF format:
```
data_Pu6SbPd5
_chemical_formula_sum 'Pu6 Sb1 Pd5'
_symmetry_space_group_name_H-M 'P 1'
_symmetry_Int_Tables_number 1
_cell_length_a 5.4485
_cell_length_b 6.0267
_cell_length_c 9.0763
_cell_angle_alpha 109.37
_cell_angle_beta 107.46
_cell_angle_gamma 90.02
loop_
_symmetry_equiv_pos_as_xyz
'x,y,z'
loop_
_atom_site_label
_atom_site_fract_x
_atom_site_fract_y
_atom_site_fract_z
Pu1 0.8280 0.5749 0.6559
Pd1 0.0000 0.5000 0.0000
Pu2 0.1720 0.9190 0.3441
Pu3 0.8280 0.0810 0.6559
Pd2 0.3354 0.8354 0.6708
Pu4 0.5003 0.2576 0.0000
Pu5 0.1720 0.4251 0.3441
Pd3 0.6646 0.1646 0.3292
Pu6 0.4997 0.7424 0.0000
Pd4 0.6663 0.6663 0.3327
Pd5 0.3337 0.3337 0.6673
Sb1 0.0000 0.0000 0.0000
```

---

# 6
Entry from the Alexandria database: a relaxed structure of BaSc2Co (GGA-PBE).

Properties
- Energy of formation from the pure elements: 0.131 eV/atom
- DOS(E_F): 1.177 states/eV per atom
- Density: 4.41 Mg/m³
- Total magnetization: 0.00 μB per cell
- Symmetry: P4mm

The structure in CIF format:
```
data_BaSc2Co
_chemical_formula_sum 'Ba1 Sc2 Co1'
_symmetry_space_group_name_H-M 'P 1'
_symmetry_Int_Tables_number 1
_cell_length_a 3.6295
_cell_length_b 3.6316
_cell_length_c 8.1806
_cell_angle_alpha 90.00
_cell_angle_beta 90.00
_cell_angle_gamma 90.00
loop_
_symmetry_equiv_pos_as_xyz
'x,y,z'
loop_
_atom_site_label
_atom_site_fract_x
_atom_site_fract_y
_atom_site_fract_z
Sc1 0.0000 0.0000 0.9339
Ba1 0.0000 0.0000 0.5347
Co1 0.5000 0.5000 0.8658
Sc2 0.5000 0.5000 0.1655
```

---

# 7
Entry from the Alexandria database: a relaxed structure of YLuCuSn (GGA-PBE).

Properties
- Energy of formation from the pure elements: -0.418 eV/atom
- DOS(E_F): 0.867 states/eV per atom
- Density: 7.92 Mg/m³
- Total magnetization: 0.01 μB per cell
- Symmetry: F-43m

The structure in CIF format:
```
data_YLuCuSn
_chemical_formula_sum 'Y1 Lu1 Cu1 Sn1'
_symmetry_space_group_name_H-M 'P 1'
_symmetry_Int_Tables_number 1
_cell_length_a 5.0957
_cell_length_b 5.0957
_cell_length_c 5.0957
_cell_angle_alpha 60.00
_cell_angle_beta 60.00
_cell_angle_gamma 60.00
loop_
_symmetry_equiv_pos_as_xyz
'x,y,z'
loop_
_atom_site_label
_atom_site_fract_x
_atom_site_fract_y
_atom_site_fract_z
Lu1 0.2500 0.2500 0.2500
Cu1 0.5000 0.5000 0.5000
Sn1 0.0000 0.0000 0.0000
Y1 0.7500 0.7500 0.7500
```

---

# 8
Entry from the Alexandria database: a relaxed structure of AlNiPt2 (GGA-PBE).

Properties
- Energy of formation from the pure elements: -0.558 eV/atom
- DOS(E_F): 1.239 states/eV per atom
- Density: 14.01 Mg/m³
- Total magnetization: 0.00 μB per cell
- Symmetry: I-4m2

The structure in CIF format:
```
data_AlNiPt2
_chemical_formula_sum 'Al1 Ni1 Pt2'
_symmetry_space_group_name_H-M 'P 1'
_symmetry_Int_Tables_number 1
_cell_length_a 4.7223
_cell_length_b 4.7223
_cell_length_c 4.7223
_cell_angle_alpha 132.36
_cell_angle_beta 132.36
_cell_angle_gamma 69.66
loop_
_symmetry_equiv_pos_as_xyz
'x,y,z'
loop_
_atom_site_label
_atom_site_fract_x
_atom_site_fract_y
_atom_site_fract_z
Ni1 0.7500 0.2500 0.5000
Al1 0.5000 0.5000 0.0000
Pt1 0.2500 0.7500 0.5000
Pt2 0.0000 0.0000 0.0000
```

---

# 9
Entry from the Alexandria database: a relaxed structure of BaSr2Br (GGA-PBE).

Properties
- DOS(E_F): 0.833 states/eV per atom
- Density: 3.19 Mg/m³
- Total magnetization: 1.78 μB per cell
- Symmetry: I-42d
- Formation energy from raw total energies: -563 meV per atom

The structure in CIF format:
```
data_BaSr2Br
_chemical_formula_sum 'Ba2 Sr4 Br2'
_symmetry_space_group_name_H-M 'P 1'
_symmetry_Int_Tables_number 1
_cell_length_a 10.3961
_cell_length_b 10.3961
_cell_length_c 8.2637
_cell_angle_alpha 51.02
_cell_angle_beta 51.02
_cell_angle_gamma 90.00
loop_
_symmetry_equiv_pos_as_xyz
'x,y,z'
loop_
_atom_site_label
_atom_site_fract_x
_atom_site_fract_y
_atom_site_fract_z
Br1 0.2500 0.7500 0.5000
Sr1 0.5347 0.1250 0.2500
Sr2 0.2153 0.6250 0.2500
Br2 0.5000 0.5000 0.0000
Ba1 0.7500 0.2500 0.5000
Ba2 0.0000 0.0000 0.0000
Sr3 0.3750 0.4653 0.7500
Sr4 0.8750 0.7847 0.7500
```

---

# 10
Entry from the Alexandria database: a relaxed structure of K3HI (GGA-PBE).

Properties
- DOS(E_F): 0.365 states/eV per atom
- DFT total energy: -2.129 eV per atom
- Density: 2.10 Mg/m³
- Total magnetization: 0.00 μB per cell
- Symmetry: Pm-3m

The structure in CIF format:
```
data_K3HI
_chemical_formula_sum 'K3 H1 I1'
_symmetry_space_group_name_H-M 'P 1'
_symmetry_Int_Tables_number 1
_cell_length_a 5.7890
_cell_length_b 5.7890
_cell_length_c 5.7890
_cell_angle_alpha 90.00
_cell_angle_beta 90.00
_cell_angle_gamma 90.00
loop_
_symmetry_equiv_pos_as_xyz
'x,y,z'
loop_
_atom_site_label
_atom_site_fract_x
_atom_site_fract_y
_atom_site_fract_z
K1 0.0000 0.5000 0.0000
K2 0.5000 0.0000 0.0000
I1 0.5000 0.5000 0.5000
H1 0.0000 0.0000 0.0000
K3 0.0000 0.0000 0.5000
```

---

# 11
Entry from the Alexandria database: a relaxed structure of RbFeNi3 (GGA-PBE).

Properties
- Energy of formation from the pure elements: 2.425 eV/atom
- DOS(E_F): 2.749 states/eV per atom
- Density: 5.39 Mg/m³
- Total magnetization: 4.21 μB per cell
- Symmetry: Pm-3m

The structure in CIF format:
```
data_RbFeNi3
_chemical_formula_sum 'Rb1 Fe1 Ni3'
_symmetry_space_group_name_H-M 'P 1'
_symmetry_Int_Tables_number 1
_cell_length_a 4.6059
_cell_length_b 4.6059
_cell_length_c 4.6059
_cell_angle_alpha 90.00
_cell_angle_beta 90.00
_cell_angle_gamma 90.00
loop_
_symmetry_equiv_pos_as_xyz
'x,y,z'
loop_
_atom_site_label
_atom_site_fract_x
_atom_site_fract_y
_atom_site_fract_z
Ni1 0.5000 0.0000 0.0000
Ni2 0.0000 0.5000 0.0000
Rb1 0.0000 0.0000 0.0000
Ni3 0.0000 0.0000 0.5000
Fe1 0.5000 0.5000 0.5000
```

---

# 12
Entry from the Alexandria database: a relaxed structure of PrHfN (GGA-PBE).

Properties
- DOS(E_F): 0.762 states/eV per atom
- Density: 9.92 Mg/m³
- Total magnetization: 0.00 μB per cell
- Symmetry: P4/mmm
- Formation energy from raw total energies: -1010 meV per atom

The structure in CIF format:
```
data_PrHfN
_chemical_formula_sum 'Pr2 Hf2 N2'
_symmetry_space_group_name_H-M 'P 1'
_symmetry_Int_Tables_number 1
_cell_length_a 4.4726
_cell_length_b 4.4726
_cell_length_c 5.5780
_cell_angle_alpha 90.00
_cell_angle_beta 90.00
_cell_angle_gamma 90.00
loop_
_symmetry_equiv_pos_as_xyz
'x,y,z'
loop_
_atom_site_label
_atom_site_fract_x
_atom_site_fract_y
_atom_site_fract_z
Pr1 0.5000 0.0000 0.0000
N1 0.0000 0.5000 0.5000
Hf1 0.0000 0.0000 0.5000
N2 0.5000 0.0000 0.5000
Hf2 0.5000 0.5000 0.5000
Pr2 0.0000 0.5000 0.0000
```

---

Which of these has the lowest density? K3HI

---

Repeat the ninth record exactly.
Entry from the Alexandria database: a relaxed structure of BaSr2Br (GGA-PBE).

Properties
- DOS(E_F): 0.833 states/eV per atom
- Density: 3.19 Mg/m³
- Total magnetization: 1.78 μB per cell
- Symmetry: I-42d
- Formation energy from raw total energies: -563 meV per atom

The structure in CIF format:
```
data_BaSr2Br
_chemical_formula_sum 'Ba2 Sr4 Br2'
_symmetry_space_group_name_H-M 'P 1'
_symmetry_Int_Tables_number 1
_cell_length_a 10.3961
_cell_length_b 10.3961
_cell_length_c 8.2637
_cell_angle_alpha 51.02
_cell_angle_beta 51.02
_cell_angle_gamma 90.00
loop_
_symmetry_equiv_pos_as_xyz
'x,y,z'
loop_
_atom_site_label
_atom_site_fract_x
_atom_site_fract_y
_atom_site_fract_z
Br1 0.2500 0.7500 0.5000
Sr1 0.5347 0.1250 0.2500
Sr2 0.2153 0.6250 0.2500
Br2 0.5000 0.5000 0.0000
Ba1 0.7500 0.2500 0.5000
Ba2 0.0000 0.0000 0.0000
Sr3 0.3750 0.4653 0.7500
Sr4 0.8750 0.7847 0.7500
```

---

Number 4 is which compound? Nd2Hg9Pb